Density functional theory data (GGA-PBE) for a relaxed structure of Tm3Al2Cu6.

Summary:
The total energy is -197.21 eV per cell. The calculation puts the theoretical density at 8.40 Mg/m³. The formation enthalpy at 0 K is -348 meV/atom.

a = 9.0636 Å, b = 9.0636 Å, c = 9.0636 Å
α = 90.00°, β = 90.00°, γ = 90.00°
With the nearest neighbours (Å) after each atom.
Space group Im-3m (No. 229)
One atom of each set of equivalent atoms:
Tm (0.0000, 0.0000, 0.2775) x12  8 Cu 2.92-3.08, 4 Al 3.21
Al (0.2500, 0.2500, 0.2500) x8  6 Cu 2.51
Cu (0.0000, 0.3347, 0.3347) x24  2 Al 2.51, 4 Cu 2.62



Density functional theory data (GGA-PBE) for a relaxed structure of Pu4Ir.

Summary:
The total energy is -515.07 eV per cell. The calculation puts the theoretical density at 13.96 Mg/m³. The formation enthalpy at 0 K is 361 meV/atom. The energy relative to the lowest polymorph listed for this composition comes out at 156.3 meV per atom.

a = 10.3588 Å, b = 10.3588 Å, c = 10.3588 Å
α = 90.00°, β = 90.00°, γ = 90.00°
With the nearest neighbours (Å) after each atom.
Space group Fd-3m (No. 227, origin choice 2)
One atom of each set of equivalent atoms:
Pu (0.0194, 0.0194, 0.2306) x32  1 Ir 2.59
Ir (0.1250, 0.1250, 0.6250) x8  4 Pu 2.59



Density functional theory data (GGA-PBE) for a relaxed structure of YCo2Se.

Summary:
The total energy is -95.77 eV per cell. The calculation puts the theoretical density at 6.94 Mg/m³. The value obtained for the formation energy (no corrections) is 0.05 eV/atom.

a = 6.4899 Å, b = 6.4899 Å, c = 6.4899 Å
α = 90.00°, β = 90.00°, γ = 90.00°
With the nearest neighbours (Å) after each atom.
Space group F-43m (No. 216)
One atom of each set of equivalent atoms:
Y (0.0000, 0.0000, 0.0000) x4  4 Co 2.81, 4 Se 2.81
Co (0.0000, 0.0000, 0.5000) x4  4 Se 2.81, 4 Co 2.81
Co (0.2500, 0.2500, 0.2500) x4  4 Co 2.81, 4 Y 2.81
Se (0.2500, 0.2500, 0.7500) x4  4 Co 2.81, 4 Y 2.81



Density functional theory data (GGA-PBE) for a relaxed structure of VCo2AsAu.

Summary:
The total energy is -25.71 eV per cell. The calculation puts the theoretical density at 8.37 Mg/m³. The formation enthalpy at 0 K is 1109 meV/atom.

a = 4.2001 Å, b = 4.2001 Å, c = 4.9534 Å
α = 90.00°, β = 90.00°, γ = 90.00°
With the nearest neighbours (Å) after each atom.
Space group P4/mmm (No. 123)
One atom of each set of equivalent atoms:
V (0.0000, 0.0000, 0.0000) x1  4 Co 2.10
Co (0.0000, 0.5000, 0.0000) x2  2 V 2.10
As (0.5000, 0.5000, 0.5000) x1  4 Au 2.97, 8 Co 3.25
Au (0.0000, 0.0000, 0.5000) x1  2 V 2.48



Density functional theory data (GGA-PBE) for a relaxed structure of Fe2PbBr.

Summary:
The total energy is -63.47 eV per cell. The calculation puts the theoretical density at 7.79 Mg/m³. The energy relative to the lowest polymorph listed for this composition comes out at 92.8 meV per atom. The value obtained for the formation energy (no corrections) is 0.29 eV/atom.

a = 3.3118 Å, b = 3.3118 Å, c = 26.8491 Å
α = 90.00°, β = 90.00°, γ = 120.00°
With the nearest neighbours (Å) after each atom.
Space group R3m (No. 160, hexagonal axes)
One atom of each set of equivalent atoms:
Fe (0.0000, 0.0000, 0.0000) x3  3 Fe 2.48, 3 Br 2.55
Fe (0.0000, 0.0000, 0.2747) x3  3 Fe 2.48
Pb (0.0000, 0.0000, 0.5251) x3  3 Fe 2.94
Br (0.0000, 0.0000, 0.7296) x3  3 Fe 2.55



Density functional theory data (GGA-PBE) for a relaxed structure of YGePt3.

Summary:
The total energy is -66.82 eV per cell. The calculation puts the theoretical density at 12.96 Mg/m³. The formation enthalpy at 0 K is -842 meV/atom. The energy relative to the lowest polymorph listed for this composition comes out at 0.0 meV per atom.

a = 5.7190 Å, b = 4.5894 Å, c = 7.2919 Å
α = 90.00°, β = 90.00°, γ = 90.00°
With the nearest neighbours (Å) after each atom.
Space group Pmn2_1 (No. 31)
One atom of each set of equivalent atoms:
Y (0.0000, 0.0229, 0.0000) x2  7 Pt 2.90-3.03, 2 Ge 3.21
Ge (0.0000, 0.6636, 0.5398) x2  6 Pt 2.39-2.62
Pt (0.0000, 0.1389, 0.4070) x2  2 Ge 2.39-2.60
Pt (0.2421, 0.6116, 0.2358) x4  2 Ge 2.41-2.62



Density functional theory data (GGA-PBE) for a relaxed structure of SrHgPO4.

Summary:
The total energy is -164.84 eV per cell. The calculation puts the theoretical density at 6.06 Mg/m³. The value obtained for the formation energy (no corrections) is -2.00 eV/atom.

a = 5.8863 Å, b = 7.7150 Å, c = 9.2546 Å
α = 90.00°, β = 90.00°, γ = 90.00°
With the nearest neighbours (Å) after each atom.
Space group Imma (No. 74)
One atom of each set of equivalent atoms:
Sr (0.0000, 0.0000, 0.0000) x4  6 O 2.55-2.70
Hg (0.2500, 0.2500, 0.2500) x4  2 O 2.54
P (0.0000, 0.2500, 0.6242) x4  4 O 1.55-1.59
O (0.0000, 0.0826, 0.7160) x8  1 P 1.55
O (0.2185, 0.2500, 0.5233) x8  1 P 1.59



Density functional theory data (GGA-PBE) for a relaxed structure of GdErTmGa.

Summary:
The total energy is -106.29 eV per cell. The calculation puts the theoretical density at 8.94 Mg/m³. The formation enthalpy at 0 K is -107 meV/atom.

a = 7.4785 Å, b = 7.4785 Å, c = 7.4785 Å
α = 90.00°, β = 90.00°, γ = 90.00°
With the nearest neighbours (Å) after each atom.
Space group F-43m (No. 216)
One atom of each set of equivalent atoms:
Gd (0.0000, 0.0000, 0.0000) x4  4 Ga 3.24, 4 Tm 3.24
Er (0.0000, 0.0000, 0.5000) x4  4 Tm 3.24, 4 Ga 3.24
Tm (0.2500, 0.2500, 0.2500) x4  4 Gd 3.24, 4 Er 3.24
Ga (0.2500, 0.2500, 0.7500) x4  4 Gd 3.24, 4 Er 3.24